Entry 1:
GeTe2RuN after structural relaxation. Source: Alexandria, functional PBE.

Lattice parameters (Å, degrees): 5.476 5.476 3.452 90.00 90.00 90.00
Site moments in Bohr magnetons follow the coordinates.
Element x y z (fractional)
Ru  0.500  0.500  0.500  1.27
N  0.000  0.000  0.500  0.06
Te  0.500  0.000  0.000  -0.03
Te  0.000  0.500  0.000  -0.03
Ge  0.000  0.000  0.000  0.00

Computed properties:
Distance to the lowest polymorph of the same formula = 740 meV/atom
Symmetry = No. 123
DFT total energy = -4.610 eV/atom
Formation energy (no corrections) = 1.09 eV per atom

Entry 2:
GeSN2 after structural relaxation. Source: Alexandria, functional PBE.

Lattice parameters (Å, degrees): 3.935 3.935 3.935 60.00 60.00 60.00
Element x y z (fractional)
Ge  0.500  0.500  0.500
N  0.250  0.250  0.250
N  0.750  0.750  0.750
S  0.000  0.000  0.000

Computed properties:
Distance to the lowest polymorph of the same formula = 1380 meV/atom
Symmetry = No. 225
DFT total energy = -4.387 eV/atom
Formation energy (no corrections) = 1.96 eV per atom

Entry 3:
GeS2N after structural relaxation. Source: Alexandria, functional PBE.

Lattice parameters (Å, degrees): 8.076 8.076 8.076 21.77 21.77 21.77
Element x y z (fractional)
S  0.890  0.890  0.890
S  0.110  0.110  0.110
Ge  0.000  0.000  0.000
N  0.500  0.500  0.500

Computed properties:
Distance to the lowest polymorph of the same formula = 665 meV/atom
Symmetry = No. 166
DFT total energy = -4.058 eV/atom
Formation energy (no corrections) = 1.24 eV per atom